{
  "formula": "Ba3P6N8O6",
  "functional": "PBE",
  "state": "optimized geometry",
  "lattice": [[-1.787, 3.264, -6.486], [4.676, -5.835, 0.086], [-4.989, -4.007, -0.642]],
  "species": ["N", "N", "N", "O", "O", "O", "N", "P", "O", "O", "Ba", "N", "P", "N", "N", "N", "P", "O", "P", "Ba", "P", "P", "Ba"],
  "fractional_positions": [[0.667, 0.333, 0.070], [0.671, 0.694, 0.096], [0.023, 0.329, 0.096], [0.368, 0.288, 0.320], [0.632, 0.712, 0.680], [0.920, 0.632, 0.320], [0.694, 0.023, 0.904], [0.823, 0.599, 0.102], [0.080, 0.368, 0.680], [0.712, 0.080, 0.320], [0.667, 0.333, 0.616], [0.333, 0.667, 0.930], [0.599, 0.777, 0.898], [0.306, 0.977, 0.096], [0.329, 0.306, 0.904], [0.977, 0.671, 0.904], [0.177, 0.401, 0.898], [0.288, 0.920, 0.680], [0.777, 0.177, 0.102], [0.000, 0.000, 0.500], [0.223, 0.823, 0.898], [0.401, 0.223, 0.102], [0.333, 0.667, 0.384]],
  "dos_at_fermi_per_ev_cell": 0.0,
  "e_form_raw_ev_per_atom": -1.5830,
  "space_group": "P-3, No. 147",
  "energy_ev_per_atom": -7.43
}